Below is crystalline Cu2OsAu at its relaxed geometry, with properties calculated at the GGA-PBE level.

Lattice parameters (Å, degrees): 2.611 4.356 5.106 90.00 92.62 90.00
Element x y z (fractional)
Cu: 0.154 0.000 0.225
Cu: 0.846 0.000 0.775
Os: 0.500 0.500 0.000
Au: 0.000 0.500 0.500

## Properties
Space group: P2/m (10)
Formation enthalpy at 0 K (eV per atom): 0.40